Entry 1:
# PmSm2Ho2Mg (PBE, relaxed)
data_PmSm2Ho2Mg
_symmetry_space_group_name_H-M 'P 1'
_symmetry_Int_Tables_number 1
_cell_length_a 3.607
_cell_length_b 11.872
_cell_length_c 10.387
_cell_angle_alpha 90.00
_cell_angle_beta 90.00
_cell_angle_gamma 90.00
loop_
_symmetry_equiv_pos_as_xyz
'x,y,z'
loop_
_atom_site_label
_atom_site_type_symbol
_atom_site_fract_x
_atom_site_fract_y
_atom_site_fract_z
Pm1 Pm 0.000 0.000 0.500
Pm2 Pm 0.500 0.500 0.000
Mg1 Mg 0.000 0.000 0.000
Mg2 Mg 0.500 0.500 0.500
Ho1 Ho 0.500 0.067 0.246
Ho2 Ho 0.500 0.933 0.754
Ho3 Ho 0.000 0.567 0.254
Ho4 Ho 0.000 0.433 0.746
Sm1 Sm 0.000 0.274 0.097
Sm2 Sm 0.000 0.726 0.903
Sm3 Sm 0.500 0.226 0.597
Sm4 Sm 0.500 0.774 0.403
# Final energy = -3.691 eV/atom
# ΔE_f = 0.47 eV per atom
# Fermi-level density of states = 17.279 states/eV/cell

---

Entry 2:
# Nb3TcW2 (PBE, relaxed)
data_Nb3TcW2
_symmetry_space_group_name_H-M 'P 1'
_symmetry_Int_Tables_number 1
_cell_length_a 4.559
_cell_length_b 7.210
_cell_length_c 6.468
_cell_angle_alpha 90.00
_cell_angle_beta 90.00
_cell_angle_gamma 71.57
loop_
_symmetry_equiv_pos_as_xyz
'x,y,z'
loop_
_atom_site_label
_atom_site_type_symbol
_atom_site_fract_x
_atom_site_fract_y
_atom_site_fract_z
Nb1 Nb 0.833 0.335 0.248
Nb2 Nb 0.167 0.665 0.752
Nb3 Nb 0.833 0.335 0.752
Nb4 Nb 0.500 0.000 0.249
Nb5 Nb 0.500 0.000 0.751
Nb6 Nb 0.167 0.665 0.248
W1 W 0.000 0.000 0.000
W2 W 0.667 0.666 0.500
W3 W 0.333 0.334 0.500
W4 W 0.000 0.000 0.500
Tc1 Tc 0.334 0.333 0.000
Tc2 Tc 0.666 0.667 0.000
# Final energy = -11.234 eV/atom
# ΔE_f = -0.15 eV per atom
# Fermi-level density of states = 6.362 states/eV/cell

---

Entry 3:
# PmSm3Er8 (PBE, relaxed)
data_PmSm3Er8
_symmetry_space_group_name_H-M 'P 1'
_symmetry_Int_Tables_number 1
_cell_length_a 8.334
_cell_length_b 8.334
_cell_length_c 8.334
_cell_angle_alpha 94.79
_cell_angle_beta 117.27
_cell_angle_gamma 117.27
loop_
_symmetry_equiv_pos_as_xyz
'x,y,z'
loop_
_atom_site_label
_atom_site_type_symbol
_atom_site_fract_x
_atom_site_fract_y
_atom_site_fract_z
Sm1 Sm 0.500 0.250 0.750
Sm2 Sm 0.500 0.750 0.250
Sm3 Sm 0.000 0.500 0.500
Er1 Er 0.252 0.375 0.375
Er2 Er 0.000 0.877 0.625
Er3 Er 0.498 0.247 0.247
Er4 Er 0.502 0.749 0.749
Er5 Er 0.748 0.123 0.123
Er6 Er 0.000 0.251 0.753
Er7 Er 0.000 0.625 0.877
Er8 Er 0.000 0.753 0.251
Pm1 Pm 0.000 0.000 0.000
# Final energy = -3.969 eV/atom
# ΔE_f = 0.65 eV per atom
# Fermi-level density of states = 17.452 states/eV/cell

---

Entry 4:
# Zn6GaAg12 (PBE, relaxed)
data_Zn6GaAg12
_symmetry_space_group_name_H-M 'P 1'
_symmetry_Int_Tables_number 1
_cell_length_a 7.177
_cell_length_b 7.177
_cell_length_c 7.177
_cell_angle_alpha 103.10
_cell_angle_beta 103.10
_cell_angle_gamma 103.10
loop_
_symmetry_equiv_pos_as_xyz
'x,y,z'
loop_
_atom_site_label
_atom_site_type_symbol
_atom_site_fract_x
_atom_site_fract_y
_atom_site_fract_z
Ag1 Ag 0.421 0.806 0.423
Ag2 Ag 0.261 0.999 0.739
Ag3 Ag 0.194 0.577 0.579
Ag4 Ag 0.001 0.261 0.739
Ag5 Ag 0.423 0.421 0.806
Ag6 Ag 0.999 0.739 0.261
Ag7 Ag 0.261 0.739 0.001
Ag8 Ag 0.579 0.194 0.577
Ag9 Ag 0.739 0.261 0.999
Ag10 Ag 0.739 0.001 0.261
Ag11 Ag 0.577 0.579 0.194
Ag12 Ag 0.806 0.423 0.421
Zn1 Zn 0.831 0.833 0.581
Zn2 Zn 0.833 0.581 0.831
Zn3 Zn 0.419 0.169 0.167
Zn4 Zn 0.581 0.831 0.833
Zn5 Zn 0.169 0.167 0.419
Zn6 Zn 0.167 0.419 0.169
Ga1 Ga 0.000 0.000 0.000
# Final energy = -2.297 eV/atom
# ΔE_f = 0.07 eV per atom
# Fermi-level density of states = 5.630 states/eV/cell

---

Entry 5:
# LiSm2Th3Te6 (PBE, relaxed)
data_LiSm2Th3Te6
_symmetry_space_group_name_H-M 'P 1'
_symmetry_Int_Tables_number 1
_cell_length_a 4.300
_cell_length_b 9.123
_cell_length_c 10.047
_cell_angle_alpha 107.31
_cell_angle_beta 102.36
_cell_angle_gamma 90.00
loop_
_symmetry_equiv_pos_as_xyz
'x,y,z'
loop_
_atom_site_label
_atom_site_type_symbol
_atom_site_fract_x
_atom_site_fract_y
_atom_site_fract_z
Th1 Th 0.825 0.157 0.651
Th2 Th 0.175 0.843 0.349
Th3 Th 0.500 0.500 0.000
Te1 Te 0.653 0.081 0.307
Te2 Te 0.347 0.919 0.693
Te3 Te 0.667 0.582 0.334
Te4 Te 0.998 0.236 0.997
Te5 Te 0.333 0.418 0.666
Te6 Te 0.002 0.764 0.003
Sm1 Sm 0.831 0.664 0.662
Sm2 Sm 0.169 0.336 0.338
Li1 Li 0.500 0.000 0.000
# ΔE_f (raw) = -1.167 eV per atom
# Final energy = -5.539 eV/atom
# Fermi-level density of states = 8.099 states/eV/cell

---

Entry 6:
# Sc2PdRh3 (PBE, relaxed)
data_Sc2PdRh3
_symmetry_space_group_name_H-M 'P 1'
_symmetry_Int_Tables_number 1
_cell_length_a 5.569
_cell_length_b 5.558
_cell_length_c 7.662
_cell_angle_alpha 111.27
_cell_angle_beta 111.31
_cell_angle_gamma 90.00
loop_
_symmetry_equiv_pos_as_xyz
'x,y,z'
loop_
_atom_site_label
_atom_site_type_symbol
_atom_site_fract_x
_atom_site_fract_y
_atom_site_fract_z
Sc1 Sc 0.915 0.662 0.324
Sc2 Sc 0.085 0.338 0.676
Sc3 Sc 0.591 0.838 0.676
Sc4 Sc 0.409 0.162 0.324
Rh1 Rh 0.401 0.644 0.289
Rh2 Rh 0.500 0.750 0.000
Rh3 Rh 0.599 0.356 0.711
Rh4 Rh 0.112 0.856 0.711
Rh5 Rh 0.888 0.144 0.289
Rh6 Rh 0.500 0.250 0.000
Pd1 Pd 0.000 0.250 0.000
Pd2 Pd 0.000 0.750 0.000
# Final energy = -7.186 eV/atom
# ΔE_f = -0.53 eV per atom
# Fermi-level density of states = 15.973 states/eV/cell